This record from the Alexandria database describes Y6Ag5Os after structural relaxation. The functional is PBE.

abc: 5.088 7.232 8.064
angles: 90.00 71.40 90.00
Sites, in units of the cell vectors:
Y 0.500 0.233 0.000
Os 0.000 0.000 0.000
Ag 0.668 0.500 0.666
Y 0.841 0.242 0.316
Ag 0.000 0.500 0.000
Ag 0.332 0.500 0.334
Y 0.500 0.767 0.000
Y 0.159 0.242 0.684
Ag 0.325 0.000 0.348
Ag 0.675 0.000 0.652
Y 0.841 0.758 0.316
Y 0.159 0.758 0.684

Computed properties:
The space group is P2/m, No. 10. Its magnetization is 0.000 μB per atom. The calculated formation energy is -3.8 eV/f.u.


This record from the Alexandria database describes GdPaRhAu after structural relaxation. The functional is PBE.

abc: 5.013 5.013 5.013
angles: 60.00 60.00 60.00
Sites, in units of the cell vectors:
Gd 0.750 0.750 0.750
Rh 0.500 0.500 0.500
Au 0.000 0.000 0.000
Pa 0.250 0.250 0.250

Computed properties:
The space group is F-43m, No. 216. Its magnetization is 1.999 μB per atom. The calculated formation energy is -2.0 eV/f.u.


This record from the Alexandria database describes Cd2SiP after structural relaxation. The functional is PBE.

abc: 5.681 5.681 2.783
angles: 72.92 72.92 80.49
Sites, in units of the cell vectors:
Cd 0.000 0.000 0.000
P 0.500 0.000 0.500
Cd 0.500 0.500 0.000
Si 0.000 0.500 0.500

Computed properties:
For the formation energy from raw total energies, the calculation gives 0.433 eV per atom. The space group is C2/m, No. 12. Its magnetization is 0.000 μB per atom.


This record from the Alexandria database describes Zr2InTe4 after structural relaxation. The functional is PBE.

abc: 3.983 6.899 8.650
angles: 91.13 90.00 90.00
Sites, in units of the cell vectors:
Zr 0.000 0.000 0.000
Te 0.000 0.670 0.209
Te 0.000 0.330 0.791
Zr 0.500 0.500 0.000
In 0.000 0.000 0.500
Te 0.500 0.172 0.211
Te 0.500 0.828 0.789

Computed properties:
For the formation energy from raw total energies, the calculation gives -0.747 eV per atom. The space group is P2/m, No. 10. Its magnetization is 0.000 μB per atom.


This record from the Alexandria database describes Tl2FeSb after structural relaxation. The functional is PBE.

abc: 8.094 8.094 4.252
angles: 74.83 74.83 22.98
Sites, in units of the cell vectors:
Fe 0.750 0.750 0.750
Sb 0.250 0.250 0.250
Tl 0.425 0.425 0.575
Tl 0.075 0.075 0.925

Computed properties:
For the formation energy from raw total energies, the calculation gives 0.264 eV per atom. The space group is C2/m, No. 12. Its magnetization is 0.628 μB per atom.


This record from the Alexandria database describes NdAl2GaRh2 after structural relaxation. The functional is PBE.

abc: 4.587 4.587 5.707
angles: 90.00 90.00 90.00
Sites, in units of the cell vectors:
Ga 0.000 0.000 0.000
Al 0.500 0.500 0.752
Rh 0.500 0.000 0.000
Nd 0.000 0.000 0.500
Al 0.500 0.500 0.248
Rh 0.000 0.500 0.000

Computed properties:
The space group is P4/mmm, No. 123. Its magnetization is 0.000 μB per atom. The calculated formation energy is -2.8 eV/f.u.


This record from the Alexandria database describes MgRuCl after structural relaxation. The functional is PBE.

abc: 3.110 3.110 6.182
angles: 90.00 90.00 120.00
Sites, in units of the cell vectors:
Cl 0.000 0.000 0.027
Ru 0.667 0.333 0.654
Mg 0.333 0.667 0.319

Computed properties:
For the formation energy from raw total energies, the calculation gives -0.008 eV per atom. The space group is P3m1, No. 156. Its magnetization is 0.579 μB per atom.


This record from the Alexandria database describes Ba6PdPt2Au after structural relaxation. The functional is PBE.

abc: 8.002 8.001 8.817
angles: 63.01 63.00 59.94
Sites, in units of the cell vectors:
Au 0.824 0.824 0.527
Ba 0.600 0.247 0.245
Ba 0.114 0.396 0.752
Pt 0.003 0.003 0.991
Ba 0.739 0.113 0.752
Ba 0.246 0.909 0.245
Ba 0.397 0.738 0.752
Pt 0.506 0.505 0.484
Ba 0.908 0.601 0.244
Pd 0.326 0.325 0.023

Computed properties:
The space group is P1, No. 1. Its magnetization is 0.000 μB per atom. The calculated formation energy is -5.9 eV/f.u.


This record from the Alexandria database describes HoPd8Au2 after structural relaxation. The functional is PBE.

abc: 4.352 6.838 6.838
angles: 106.03 89.99 89.99
Sites, in units of the cell vectors:
Pd 0.500 0.667 0.667
Pd 0.000 0.696 0.965
Ho 0.500 0.000 0.000
Pd 0.500 0.333 0.333
Pd 0.000 0.965 0.696
Pd 0.000 0.035 0.304
Au 0.000 0.377 0.623
Pd 0.000 0.304 0.035
Pd 0.500 0.245 0.755
Pd 0.500 0.755 0.245
Au 0.000 0.623 0.377

Computed properties:
The space group is Cmmm, No. 65. Its magnetization is 0.000 μB per atom. The calculated formation energy is -1.8 eV/f.u.


This record from the Alexandria database describes SrLa2Ni after structural relaxation. The functional is PBE.

abc: 8.797 8.797 7.108
angles: 51.77 51.77 90.00
Sites, in units of the cell vectors:
Sr 0.750 0.250 0.500
La 0.375 0.460 0.750
Sr 0.000 0.000 0.000
La 0.210 0.625 0.250
Ni 0.500 0.500 0.000
La 0.540 0.125 0.250
La 0.875 0.790 0.750
Ni 0.250 0.750 0.500

Computed properties:
The space group is I-42d, No. 122. Its magnetization is 0.000 μB per atom. The calculated formation energy is 0.2 eV/f.u.


This record from the Alexandria database describes Y2FePPb after structural relaxation. The functional is PBE.

abc: 5.754 5.130 5.754
angles: 90.00 90.00 90.00
Sites, in units of the cell vectors:
Y 0.500 0.000 0.000
P 0.000 0.500 0.000
Fe 0.500 0.500 0.500
Y 0.000 0.000 0.500
Pb 0.000 0.000 0.000

Computed properties:
The space group is P4/mmm, No. 123. Its magnetization is 0.492 μB per atom. The calculated formation energy is 5.5 eV/f.u.


This record from the Alexandria database describes HfAl2 after structural relaxation. The functional is PBE.

abc: 5.249 5.249 17.449
angles: 90.00 90.00 120.00
Sites, in units of the cell vectors:
Al 0.667 0.333 0.126
Al 0.675 0.838 0.750
Hf 0.667 0.333 0.842
Al 0.500 0.500 0.500
Hf 0.333 0.667 0.342
Hf 0.333 0.667 0.158
Al 0.325 0.162 0.250
Al 0.000 0.500 0.500
Al 0.333 0.667 0.626
Al 0.333 0.667 0.874
Hf 0.000 0.000 0.908
Hf 0.000 0.000 0.592
Hf 0.000 0.000 0.408
Al 0.162 0.325 0.750
Al 0.667 0.333 0.374
Al 0.500 0.000 0.500
Al 0.838 0.162 0.250
Al 0.500 0.500 0.000
Al 0.838 0.675 0.250
Hf 0.667 0.333 0.658
Al 0.000 0.500 0.000
Al 0.162 0.838 0.750
Hf 0.000 0.000 0.092
Al 0.500 0.000 0.000

Computed properties:
The space group is P6_3/mmc, No. 194. Its magnetization is 0.000 μB per atom. The calculated formation energy is -1.3 eV/f.u.